The following is a DFT calculation (PBE with a Hubbard U) of a geometry-optimized Cs2CrPtO4 structure.

The structure in POSCAR format:
```
Cs2CrPtO4
1.0
5.064 0.000 0.000
2.532 6.444 0.000
2.532 0.000 10.998
Cr O Pt Cs
2 8 2 4
direct
0.750 0.500 0.500 Cr
0.000 0.000 0.000 Cr
0.545 0.668 0.403 O
0.616 0.332 0.597 O
0.963 0.832 0.903 O
0.205 0.832 0.097 O
0.787 0.668 0.597 O
0.698 0.168 0.097 O
0.052 0.332 0.403 O
0.134 0.168 0.903 O
0.250 0.500 0.500 Pt
0.500 0.000 0.000 Pt
0.826 0.000 0.347 Cs
0.174 0.000 0.653 Cs
0.576 0.500 0.847 Cs
0.924 0.500 0.153 Cs
```

Summary:
* total magnetic moment: 0.00 μB/atom
* crystal system: orthorhombic
* space group: Fddd, No. 70
* total DFT energy (no corrections): -5.428 eV per atom

***

The following is a DFT calculation (PBE with a Hubbard U) of a geometry-optimized CsCr2PtO structure.

The structure in POSCAR format:
```
CsCr2PtO
1.0
4.133 0.000 0.000
0.000 7.219 0.000
0.000 0.000 4.133
Cr Cs Pt O
2 1 1 1
direct
0.500 0.000 0.000 Cr
0.000 0.000 0.500 Cr
0.500 0.500 0.500 Cs
0.000 0.500 0.000 Pt
0.000 0.000 0.000 O
```

Summary:
* total magnetic moment: 1.70 μB/atom
* density of states at the Fermi level: 1.54 states/eV per cell
* crystal system: tetragonal
* space group: P4/mmm, No. 123
* total DFT energy (no corrections): -5.162 eV per atom

***

The following is a DFT calculation (PBE with a Hubbard U) of a geometry-optimized Cs2Pu3CrO12 structure.

The structure in POSCAR format:
```
Cs2Pu3CrO12
1.0
-5.208 1.959 4.955
-6.897 0.948 -2.656
-4.984 -5.238 1.801
O Pu Cr Cs
12 3 1 2
direct
0.941 0.321 0.321 O
0.693 0.059 0.059 O
0.059 0.059 0.693 O
0.059 0.679 0.679 O
0.679 0.059 0.679 O
0.059 0.693 0.059 O
0.679 0.679 0.059 O
0.941 0.941 0.307 O
0.321 0.321 0.941 O
0.321 0.941 0.321 O
0.307 0.941 0.941 O
0.941 0.307 0.941 O
0.500 0.000 0.000 Pu
0.000 0.000 0.500 Pu
0.000 0.500 0.000 Pu
0.000 0.000 0.000 Cr
0.628 0.628 0.628 Cs
0.372 0.372 0.372 Cs
```

Summary:
* total magnetic moment: 0.44 μB/atom
* density of states at the Fermi level: 7.10 states/eV per cell
* crystal system: trigonal
* space group: R-3m, No. 166
* total DFT energy (no corrections): -8.548 eV per atom

***

The following is a DFT calculation (PBE with a Hubbard U) of a geometry-optimized CsPu2CrO8 structure.

The structure in POSCAR format:
```
CsPu2CrO8
1.0
5.997 0.000 0.000
-2.998 5.193 0.000
0.000 0.000 8.070
O Cs Pu Cr
8 1 2 1
direct
0.156 0.311 0.859 O
0.844 0.156 0.141 O
0.667 0.333 0.471 O
0.333 0.667 0.529 O
0.311 0.156 0.141 O
0.844 0.689 0.141 O
0.689 0.844 0.859 O
0.156 0.844 0.859 O
0.000 0.000 0.500 Cs
0.333 0.667 0.763 Pu
0.667 0.333 0.237 Pu
0.000 0.000 0.000 Cr
```

Summary:
* total magnetic moment: 0.58 μB/atom
* density of states at the Fermi level: 15.52 states/eV per cell
* crystal system: trigonal
* space group: P-3m1, No. 164
* total DFT energy (no corrections): -8.296 eV per atom

***

The following is a DFT calculation (PBE with a Hubbard U) of a geometry-optimized CsRb2CrO4 structure.

The structure in POSCAR format:
```
CsRb2CrO4
1.0
6.757 0.271 0.000
-0.290 6.756 0.000
-3.233 -3.514 3.952
O Cs Rb Cr
4 1 2 1
direct
0.772 0.468 0.240 O
0.468 0.772 0.240 O
0.227 0.227 0.759 O
0.532 0.532 0.760 O
0.000 0.000 0.000 Cs
0.751 0.251 0.501 Rb
0.251 0.751 0.501 Rb
0.500 0.500 0.000 Cr
```

Summary:
* total magnetic moment: 0.12 μB/atom
* crystal system: orthorhombic
* space group: Fmm2, No. 42
* total DFT energy (no corrections): -5.356 eV per atom

***

The following is a DFT calculation (PBE with a Hubbard U) of a geometry-optimized CsRb2Cr2O7 structure.

The structure in POSCAR format:
```
CsRb2Cr2O7
1.0
-6.130 -1.839 -2.468
-0.763 -1.256 -6.700
-0.525 -8.565 -1.846
Rb O Cr Cs
2 7 2 1
direct
0.771 0.771 0.687 Rb
0.229 0.229 0.313 Rb
0.857 0.314 0.702 O
0.126 0.857 0.702 O
0.874 0.686 0.298 O
0.686 0.143 0.298 O
0.000 0.000 0.000 O
0.314 0.126 0.702 O
0.143 0.874 0.298 O
0.075 0.075 0.774 Cr
0.925 0.925 0.226 Cr
0.500 0.500 0.500 Cs
```

Summary:
* total magnetic moment: 0.08 μB/atom
* density of states at the Fermi level: 6.87 states/eV per cell
* crystal system: trigonal
* space group: R32, No. 155
* total DFT energy (no corrections): -5.905 eV per atom

***

The following is a DFT calculation (PBE with a Hubbard U) of a geometry-optimized CsRbCrO3 structure.

The structure in POSCAR format:
```
CsRbCrO3
1.0
5.661 0.022 0.000
1.226 6.474 0.000
0.613 3.237 6.404
Cs O Rb Cr
2 6 2 2
direct
0.750 0.758 0.485 Cs
0.250 0.242 0.515 Cs
0.514 0.150 0.059 O
0.014 0.209 0.941 O
0.486 0.850 0.941 O
0.750 0.181 0.638 O
0.250 0.819 0.362 O
0.986 0.791 0.059 O
0.750 0.411 0.178 Rb
0.250 0.589 0.822 Rb
0.750 0.041 0.917 Cr
0.250 0.959 0.083 Cr
```

Summary:
* total magnetic moment: 0.33 μB/atom
* density of states at the Fermi level: 0.00 states/eV per cell
* crystal system: monoclinic
* space group: C2/c, No. 15
* total DFT energy (no corrections): -5.642 eV per atom

***

The following is a DFT calculation (PBE with a Hubbard U) of a geometry-optimized Cs3RbCr2O8 structure.

The structure in POSCAR format:
```
Cs3RbCr2O8
1.0
-1.774 6.115 1.326
-1.206 -4.738 4.289
7.589 1.403 3.683
Cs O Rb Cr
3 8 1 2
direct
0.000 0.000 0.000 Cs
0.333 0.667 0.685 Cs
0.667 0.333 0.315 Cs
0.667 0.333 0.972 O
0.193 0.807 0.288 O
0.807 0.613 0.712 O
0.387 0.193 0.712 O
0.807 0.193 0.712 O
0.613 0.807 0.288 O
0.333 0.667 0.028 O
0.193 0.387 0.288 O
0.000 0.000 0.500 Rb
0.333 0.667 0.222 Cr
0.667 0.333 0.778 Cr
```

Summary:
* total magnetic moment: 0.02 μB/atom
* density of states at the Fermi level: 0.00 states/eV per cell
* crystal system: trigonal
* space group: P-3m1, No. 164
* total DFT energy (no corrections): -5.844 eV per atom

***

The following is a DFT calculation (PBE with a Hubbard U) of a geometry-optimized CsCrReO6 structure.

The structure in POSCAR format:
```
CsCrReO6
1.0
5.094 0.002 -0.076
2.546 4.627 -0.040
-0.099 -0.003 6.677
Cs Cr Re O
1 1 1 6
direct
0.003 0.993 0.000 Cs
0.658 0.685 0.500 Cr
0.335 0.329 0.500 Re
0.579 0.411 0.671 O
0.609 0.006 0.345 O
0.418 0.578 0.334 O
0.003 0.579 0.666 O
0.385 0.007 0.655 O
0.010 0.411 0.329 O
```

Summary:
* total magnetic moment: 0.22 μB/atom
* crystal system: monoclinic
* space group: C2, No. 5
* total DFT energy (no corrections): -7.251 eV per atom

***

The following is a DFT calculation (PBE with a Hubbard U) of a geometry-optimized Cs2CrRhO4 structure.

The structure in POSCAR format:
```
Cs2CrRhO4
1.0
4.950 0.000 0.000
2.475 6.459 0.000
2.475 0.000 11.047
Cs O Rh Cr
4 8 2 2
direct
0.827 0.000 0.345 Cs
0.923 0.500 0.155 Cs
0.577 0.500 0.845 Cs
0.173 0.000 0.655 Cs
0.149 0.167 0.904 O
0.220 0.833 0.096 O
0.530 0.667 0.404 O
0.066 0.333 0.404 O
0.684 0.167 0.096 O
0.804 0.667 0.596 O
0.601 0.333 0.596 O
0.946 0.833 0.904 O
0.250 0.500 0.500 Rh
0.500 0.000 0.000 Rh
0.750 0.500 0.500 Cr
0.000 0.000 0.000 Cr
```

Summary:
* total magnetic moment: 0.13 μB/atom
* density of states at the Fermi level: 7.32 states/eV per cell
* crystal system: orthorhombic
* space group: Fddd, No. 70
* total DFT energy (no corrections): -5.644 eV per atom

***

The following is a DFT calculation (PBE with a Hubbard U) of a geometry-optimized CsCrS2O8 structure.

The structure in POSCAR format:
```
CsCrS2O8
1.0
4.971 0.072 -0.064
2.548 4.362 0.010
-0.216 0.167 17.842
O S Cs Cr
16 4 2 2
direct
0.869 0.292 0.586 O
0.628 0.284 0.933 O
0.954 0.718 0.571 O
0.453 0.786 0.533 O
0.062 0.648 0.934 O
0.936 0.352 0.066 O
0.391 0.272 0.333 O
0.303 0.351 0.824 O
0.731 0.911 0.067 O
0.267 0.089 0.933 O
0.610 0.727 0.667 O
0.132 0.707 0.414 O
0.696 0.649 0.176 O
0.047 0.282 0.429 O
0.370 0.716 0.067 O
0.549 0.214 0.467 O
0.684 0.657 0.094 S
0.291 0.360 0.410 S
0.314 0.343 0.906 S
0.711 0.639 0.590 S
0.030 0.980 0.248 Cs
0.969 0.020 0.752 Cs
0.001 0.000 0.500 Cr
0.999 0.000 0.000 Cr
```

Summary:
* energy above the lowest structure with this stoichiometry: 0 meV per atom
* total magnetic moment: 0.25 μB/atom
* density of states at the Fermi level: 0.00 states/eV per cell
* crystal system: triclinic
* space group: P-1, No. 2

***

The following is a DFT calculation (PBE with a Hubbard U) of a geometry-optimized CsCrS2O8 structure.

The structure in POSCAR format:
```
CsCrS2O8
1.0
-0.057 1.961 -4.742
-4.328 -0.187 2.751
1.741 7.989 3.283
S O Cs Cr
2 8 1 1
direct
0.667 0.333 0.696 S
0.333 0.667 0.304 S
0.352 0.211 0.641 O
0.141 0.789 0.359 O
0.789 0.141 0.641 O
0.859 0.648 0.641 O
0.333 0.667 0.139 O
0.648 0.859 0.359 O
0.667 0.333 0.861 O
0.211 0.352 0.359 O
0.000 0.000 0.000 Cs
0.000 0.000 0.500 Cr
```

Summary:
* energy above the lowest structure with this stoichiometry: 31 meV per atom
* total magnetic moment: 0.26 μB/atom
* density of states at the Fermi level: 0.00 states/eV per cell
* crystal system: trigonal
* space group: P321, No. 150